This record from the Alexandria database describes an optimized crystal structure of Tl2Ge2Br5. The functional is GGA-PBE.

Output
Total DFT energy (no corrections) = -2.977 eV per atom
Formation energy (no corrections) = -0.50 eV/atom

Unit cell a=7.643 b=8.149 c=11.734 alpha=110.32 beta=109.01 gamma=90.00
Sites, in units of the cell vectors:
Tl 0.105 0.546 0.261
Tl 0.656 0.046 0.261
Tl 0.344 0.784 0.739
Tl 0.895 0.284 0.738
Br 0.023 0.873 0.500
Br 0.551 0.597 0.269
Br 0.226 0.659 0.949
Br 0.223 0.159 0.949
Br 0.977 0.373 0.500
Br 0.782 0.829 0.731
Br 0.449 0.329 0.731
Br 0.774 0.710 0.051
Br 0.777 0.210 0.051
Br 0.218 0.097 0.269
Ge 0.693 0.866 0.500
Ge 0.000 0.974 0.000
Ge 0.500 0.474 0.000
Ge 0.307 0.366 0.500